1.
8
Lattice="5.443 0.000 0.000 0.000 9.057 0.000 0.000 0.000 2.784" Properties=species:S:1:pos:R:3 comment="Cd2TcOs, optimized geometry, DFT GGA-PBE" dos_at_fermi_per_ev_fu=4.75 relative_energy_ev_per_atom=0.576 spacegroup="Cmmm (65)" delta_e_f_ev_per_atom=0.73 pbc="T T T"
Cd 1.361 2.264 0.000
Cd 1.361 6.793 0.000
Cd 4.082 2.264 0.000
Cd 4.082 6.793 0.000
Tc 0.000 0.000 1.392
Tc 2.721 4.529 1.392
Os 0.000 4.529 1.392
Os 2.721 0.000 1.392



2.
12
Lattice="3.225 0.000 0.000 -1.613 2.793 0.000 0.000 0.000 31.500" Properties=species:S:1:pos:R:3 comment="ErSc2Nb, optimized geometry, DFT GGA-PBE" dos_at_fermi_per_ev_fu=6.38 relative_energy_ev_per_atom=0.016 spacegroup="R3m (160)" delta_e_f_ev_per_atom=0.16 pbc="T T T"
Er 0.000 0.000 0.000
Er 0.000 1.862 21.000
Er 1.613 0.931 10.500
Sc 0.000 0.000 18.093
Sc 0.000 0.000 23.850
Sc 0.000 1.862 7.593
Sc 0.000 1.862 13.350
Sc 1.613 0.931 2.850
Sc 1.613 0.931 28.593
Nb 0.000 0.000 5.213
Nb 0.000 1.862 26.213
Nb 1.613 0.931 15.713



3.
17
Lattice="-3.748 4.021 4.111 3.748 -4.021 4.111 3.748 4.021 -4.111" Properties=species:S:1:pos:R:3 comment="PuCu4F12, optimized geometry, DFT GGA-PBE" dos_at_fermi_per_ev_fu=14.09 formation_energy_uncorrected_ev_per_atom=-2.006 spacegroup="Immm (71)" pbc="T T T"
Pu 0.000 0.000 0.000
Cu 1.874 2.011 -2.056
Cu 1.874 -2.011 2.056
Cu -1.874 2.011 2.056
Cu 1.874 2.011 2.056
F 3.748 -1.749 1.851
F 1.454 1.772 0.000
F 2.294 -2.249 4.111
F 2.322 4.021 -2.252
F 1.426 0.000 1.860
F 3.748 1.749 1.851
F 0.000 2.272 2.261
F 2.322 4.021 2.252
F 1.426 0.000 6.363
F 1.454 6.270 0.000
F 2.294 2.249 4.111
F 0.000 5.770 2.261



4.
80
Lattice="-7.421 7.421 7.421 7.421 -7.421 7.421 7.421 7.421 -7.421" Properties=species:S:1:pos:R:3 comment="Tm3Al5S12, optimized geometry, DFT GGA-PBE" dos_at_fermi_per_ev_fu=0.00 formation_energy_uncorrected_ev_per_atom=-1.430 spacegroup="Ia-3d (230)" pbc="T T T"
Tm 3.711 1.855 0.000
Tm 7.421 3.711 -1.855
Tm 1.855 0.000 3.711
Tm 9.276 0.000 3.711
Tm 0.000 3.711 1.855
Tm 3.711 -1.855 7.421
Tm 3.711 9.276 0.000
Tm 7.421 3.711 5.566
Tm -1.855 7.421 3.711
Tm 5.566 7.421 3.711
Tm 0.000 3.711 9.276
Tm 3.711 5.566 7.421
Al 0.000 0.000 0.000
Al 3.711 3.711 -3.711
Al 3.711 -3.711 3.711
Al 7.421 0.000 0.000
Al 11.132 1.855 0.000
Al 7.421 -3.711 5.566
Al 5.566 7.421 -3.711
Al 5.566 0.000 3.711
Al 3.711 5.566 0.000
Al 7.421 3.711 1.855
Al -3.711 3.711 3.711
Al 0.000 7.421 0.000
Al 0.000 0.000 7.421
Al 3.711 3.711 3.711
Al 0.000 3.711 5.566
Al 3.711 1.855 7.421
Al 1.855 7.421 3.711
Al 1.855 0.000 11.132
Al 0.000 11.132 1.855
Al -3.711 5.566 7.421
S 2.223 -0.403 0.870
S 8.909 4.581 -4.113
S 9.644 0.403 0.870
S 8.909 -2.841 4.113
S 7.018 -0.870 2.223
S 11.534 -1.488 2.841
S 0.870 2.223 -0.403
S 10.262 3.308 -1.488
S 4.581 4.113 -1.488
S 6.551 2.223 0.403
S -0.403 0.870 2.223
S 4.113 -1.488 4.581
S 7.018 6.551 -2.223
S 4.113 1.488 2.841
S 4.581 -4.113 8.909
S 6.551 -2.223 7.018
S 2.841 4.113 1.488
S 8.291 5.198 0.403
S 4.113 8.909 -2.841
S 7.018 0.870 5.198
S 2.223 7.018 -0.870
S 8.909 2.841 3.308
S 1.488 2.841 4.113
S 2.223 0.403 6.551
S 5.198 7.018 0.870
S 5.933 4.581 3.308
S -1.488 4.581 4.113
S 5.198 0.403 8.291
S 0.403 6.551 2.223
S 3.308 -1.488 10.262
S -0.870 2.223 7.018
S 4.581 3.308 5.933
S 0.870 9.644 0.403
S 2.841 11.534 -1.488
S 3.308 5.933 4.581
S 0.403 0.870 9.644
S 3.308 8.909 2.841
S 7.824 6.551 5.198
S 0.870 5.198 7.018
S 2.841 3.308 8.909
S -2.841 4.113 8.909
S 6.551 5.198 7.824
S -4.113 8.909 4.581
S 0.403 8.291 5.198
S -1.488 10.262 3.308
S -2.223 7.018 6.551
S -1.488 2.841 11.534
S 5.198 7.824 6.551



5.
4
Lattice="3.139 0.000 0.000 1.549 4.540 0.000 1.566 0.472 5.442" Properties=species:S:1:pos:R:3 comment="GaAsAuC, optimized geometry, DFT GGA-PBE" dos_at_fermi_per_ev_fu=2.32 relative_energy_ev_per_atom=0.261 spacegroup="P1 (1)" delta_e_f_ev_per_atom=0.56 pbc="T T T"
Ga 0.000 0.000 0.000
As 3.121 2.978 3.571
Au 3.119 2.625 1.081
C 4.690 2.241 4.463



6.
5
Lattice="5.122 0.000 0.000 0.000 5.122 0.000 0.000 0.000 5.122" Properties=species:S:1:pos:R:3 comment="NaMg3Tc, optimized geometry, DFT GGA-PBE" dos_at_fermi_per_ev_fu=4.68 relative_energy_ev_per_atom=0.000 spacegroup="Pm-3m (221)" delta_e_f_ev_per_atom=0.57 pbc="T T T"
Na 0.000 0.000 0.000
Mg 0.000 2.561 2.561
Mg 2.561 0.000 2.561
Mg 2.561 2.561 0.000
Tc 2.561 2.561 2.561



7.
5
Lattice="4.906 0.000 0.000 0.000 4.906 0.000 0.000 0.000 5.408" Properties=species:S:1:pos:R:3 comment="SrMgTc2Ge, optimized geometry, DFT GGA-PBE" dos_at_fermi_per_ev_fu=4.82 spacegroup="P4/mmm (123)" delta_e_f_ev_per_atom=2.34 pbc="T T T"
Sr 0.000 0.000 0.000
Mg 0.000 0.000 2.704
Tc 0.000 2.453 0.000
Tc 2.453 0.000 0.000
Ge 2.453 2.453 2.704



8.
16
Lattice="-4.048 4.048 6.956 4.048 -4.048 6.956 4.048 4.048 -6.956" Properties=species:S:1:pos:R:3 comment="Pr5HgIr2, optimized geometry, DFT GGA-PBE" dos_at_fermi_per_ev_fu=8.07 relative_energy_ev_per_atom=0.000 spacegroup="I4/mcm (140)" delta_e_f_ev_per_atom=-0.53 pbc="T T T"
Pr 0.000 0.000 0.000
Pr 5.360 1.312 -1.856
Pr 1.312 2.736 -1.856
Pr 5.360 1.312 1.856
Pr 1.312 2.736 1.856
Pr 0.000 0.000 6.956
Pr 2.736 1.312 5.099
Pr -1.312 2.736 5.099
Pr 2.736 1.312 8.812
Pr -1.312 2.736 8.812
Hg 0.000 0.000 3.478
Hg 0.000 0.000 10.434
Ir 2.941 1.107 0.000
Ir 2.941 -1.107 6.956
Ir 1.107 5.155 0.000
Ir 1.107 2.941 6.956



9.
10
Lattice="4.283 0.000 0.000 0.000 4.283 0.000 0.000 0.000 10.936" Properties=species:S:1:pos:R:3 comment="Ac2MgGe3Ir4, optimized geometry, DFT GGA-PBE" dos_at_fermi_per_ev_fu=5.74 spacegroup="P-4m2 (115)" delta_e_f_ev_per_atom=-0.70 pbc="T T T"
Ac 0.000 2.141 2.715
Ac 2.141 0.000 8.221
Mg 0.000 0.000 5.468
Ge 0.000 2.141 9.591
Ge 2.141 0.000 1.345
Ge 2.141 2.141 5.468
Ir 0.000 0.000 0.000
Ir 0.000 2.141 7.024
Ir 2.141 0.000 3.912
Ir 2.141 2.141 0.000



10.
10
Lattice="2.468 1.425 5.586 -2.468 1.425 5.586 0.000 -2.850 5.586" Properties=species:S:1:pos:R:3 comment="NaInC2O6, optimized geometry, DFT GGA-PBE" dos_at_fermi_per_ev_fu=0.00 formation_energy_uncorrected_ev_per_atom=-1.576 spacegroup="R-3 (148)" pbc="T T T"
Na 0.000 0.000 0.000
In 0.000 0.000 8.379
C 0.000 0.000 4.035
C 0.000 0.000 12.722
O -1.765 -0.334 7.117
O -0.594 -1.695 9.641
O -1.171 1.362 9.641
O 1.171 -1.362 7.117
O 0.594 1.695 7.117
O 1.765 0.334 9.641



11.
5
Lattice="6.042 0.000 0.000 0.000 6.042 0.000 0.000 0.000 6.042" Properties=species:S:1:pos:R:3 comment="KSr3Ir, optimized geometry, DFT GGA-PBE" dos_at_fermi_per_ev_fu=2.12 relative_energy_ev_per_atom=0.010 spacegroup="Pm-3m (221)" delta_e_f_ev_per_atom=-0.09 pbc="T T T"
K 0.000 0.000 0.000
Sr 0.000 3.021 3.021
Sr 3.021 0.000 3.021
Sr 3.021 3.021 0.000
Ir 3.021 3.021 3.021



12.
8
Lattice="2.708 1.564 8.872 -2.708 1.564 8.872 0.000 -3.127 8.872" Properties=species:S:1:pos:R:3 comment="PmPrTm2Tl4, optimized geometry, DFT GGA-PBE" dos_at_fermi_per_ev_fu=6.12 spacegroup="R-3m (166)" delta_e_f_ev_per_atom=-0.34 pbc="T T T"
Pm 0.000 0.000 0.000
Pr 0.000 0.000 13.308
Tm 0.000 0.000 6.656
Tm 0.000 0.000 19.960
Tl 0.000 0.000 3.307
Tl 0.000 0.000 9.964
Tl 0.000 0.000 16.653
Tl 0.000 0.000 23.309



13.
5
Lattice="4.576 0.000 0.000 0.000 4.576 0.000 0.000 0.000 6.830" Properties=species:S:1:pos:R:3 comment="TlSb2HI, optimized geometry, DFT GGA-PBE" dos_at_fermi_per_ev_fu=3.86 relative_energy_ev_per_atom=0.000 spacegroup="P4/mmm (123)" pbc="T T T"
Tl 0.000 0.000 0.000
Sb 0.000 2.288 3.415
Sb 2.288 0.000 3.415
H 2.288 2.288 3.415
I 2.288 2.288 0.000



14.
10
Lattice="5.541 0.000 0.000 0.000 5.541 0.000 0.000 0.000 5.541" Properties=species:S:1:pos:R:3 comment="Ni4Sb, optimized geometry, DFT GGA-PBE" dos_at_fermi_per_ev_fu=8.57 relative_energy_ev_per_atom=0.712 formation_energy_uncorrected_ev_per_atom=0.664 spacegroup="Im-3m (229)" pbc="T T T"
Ni 1.385 1.385 1.385
Ni 1.385 1.385 4.156
Ni 1.385 4.156 1.385
Ni 1.385 4.156 4.156
Ni 4.156 1.385 1.385
Ni 4.156 1.385 4.156
Ni 4.156 4.156 1.385
Ni 4.156 4.156 4.156
Sb 0.000 0.000 0.000
Sb 2.771 2.771 2.771



15.
16
Lattice="7.330 0.000 0.000 0.000 7.330 0.000 0.000 0.000 7.330" Properties=species:S:1:pos:R:3 comment="AcTmSiPt, optimized geometry, DFT GGA-PBE" dos_at_fermi_per_ev_fu=1.08 formation_energy_uncorrected_ev_per_atom=-0.697 spacegroup="F-43m (216)" pbc="T T T"
Ac 0.000 0.000 0.000
Ac 0.000 3.665 3.665
Ac 3.665 0.000 3.665
Ac 3.665 3.665 0.000
Tm 0.000 0.000 3.665
Tm 0.000 3.665 0.000
Tm 3.665 0.000 0.000
Tm 3.665 3.665 3.665
Si 1.832 1.832 5.497
Si 1.832 5.497 1.832
Si 5.497 1.832 1.832
Si 5.497 5.497 5.497
Pt 1.832 1.832 1.832
Pt 1.832 5.497 5.497
Pt 5.497 1.832 5.497
Pt 5.497 5.497 1.832